This record from the Alexandria database describes crystalline CdIn3Ag8 at its relaxed geometry. The functional is GGA-PBE.

Calculated values
* ΔH_f (0 K): 0.0445 eV/atom
* final energy: -2.6172 eV/atom

```
CdIn3Ag8
1.0
5.610 0.000 0.000
-2.805 4.858 0.000
0.000 0.000 9.042
Cd In Ag
1 3 8
Cartesian
0.000 0.000 0.000
0.000 0.000 3.414
2.805 1.619 4.672
2.805 1.619 8.124
0.000 1.588 6.334
-1.430 4.064 6.334
0.000 3.239 4.072
0.000 3.239 8.587
2.805 0.030 1.803
1.428 2.414 1.803
1.430 4.064 6.334
4.181 2.414 1.803
```